Computed, not measured: a relaxed TbCoO3 crystal at the PBE with a Hubbard U level of DFT.

Summary:
The calculation puts the magnetization at 0.000 μB/cell. The calculation puts the raw total energy at -6.9585 eV/atom.

Lattice parameters (Å, degrees): 3.7004 3.7004 3.7004 90.00 90.00 90.00
With the nearest neighbours (Å) after each atom.
Atoms (fractional coordinates):
Tb1 0.0000 0.0000 0.0000  12 O 2.62
Co1 0.5000 0.5000 0.5000  6 O 1.85
O1 0.0000 0.5000 0.5000  2 Co 1.85
O2 0.5000 0.0000 0.5000  2 Co 1.85
O3 0.5000 0.5000 0.0000  2 Co 1.85